DFT (PBE) results for crystalline LaCd2Au6 at its relaxed geometry.

The structure belongs to space group P6/mmm (No. 191); the cell edges are 5.7037, 5.7037 and 7.6814 Å and the angles 90.00°, 90.00° and 120.00°. The asymmetric unit holds La at (0.0000, 0.0000, 0.0000), Cd at (0.3333, 0.6667, 0.5000) and Au at (0.0000, 0.5000, 0.1926).

For the energy relative to the lowest polymorph listed for this composition, the calculation gives 0.000 eV/atom. The calculation puts the formation energy at -299 meV per atom. The calculated volume comes out at 216.4 Å³ per cell. For the density of states at the Fermi level, the calculation gives 4.49 states/eV per cell. As for the total magnetization: 0.0 μB per cell.

DFT (PBE) results for crystalline La2Cd3Au2 at its relaxed geometry.

The structure belongs to space group C2/m (No. 12); the cell edges are 10.3429, 4.7473 and 7.6157 Å and the angles 90.00°, 108.91° and 90.00°. The asymmetric unit holds La at (0.1375, 0.0000, 0.2806), Cd at (0.0000, 0.5000, 0.5000), Cd at (0.1196, 0.5000, 0.9326) and Au at (0.1641, 0.0000, 0.7092).

For the energy relative to the lowest polymorph listed for this composition, the calculation gives 0.000 eV/atom. The calculation puts the formation energy at -572 meV per atom. The calculated volume comes out at 353.8 Å³ per cell. For the density of states at the Fermi level, the calculation gives 8.50 states/eV per cell. As for the total magnetization: 0.0 μB per cell.

DFT (PBE) results for crystalline LaCdAu2 at its relaxed geometry.

The structure belongs to space group I-42d (No. 122); the cell edges are 4.9733, 4.9733 and 18.3094 Å and the angles 90.00°, 90.00° and 90.00°. The asymmetric unit holds La at (0.0000, 0.0000, 0.0000), Cd at (0.0000, 0.0000, 0.5000) and Au at (0.1721, 0.2500, 0.6250).

The calculation puts the formation energy at -278 meV per atom. The calculated volume comes out at 452.9 Å³ per cell. For the density of states at the Fermi level, the calculation gives 12.20 states/eV per cell. As for the total magnetization: 0.0 μB per cell.

DFT (PBE) results for crystalline LaCd4Au at its relaxed geometry.

The structure belongs to space group Cmcm (No. 63); the cell edges are 4.4955, 17.0586 and 7.7200 Å and the angles 90.00°, 90.00° and 90.00°. The asymmetric unit holds La at (0.0000, 0.1275, 0.2500), Cd at (0.0000, 0.0698, 0.7500), Cd at (0.0000, 0.3263, 0.0594), Cd at (0.0000, 0.5000, 0.0000) and Au at (0.0000, 0.2400, 0.7500).

For the energy relative to the lowest polymorph listed for this composition, the calculation gives 0.000 eV/atom. The calculation puts the formation energy at -338 meV per atom. The calculated volume comes out at 592.0 Å³ per cell. For the density of states at the Fermi level, the calculation gives 14.95 states/eV per cell. As for the total magnetization: 0.0 μB per cell.

DFT (PBE) results for crystalline La2CdAu4 at its relaxed geometry.

The structure belongs to space group I4/mmm (No. 139); the cell edges are 5.1302, 5.1302 and 15.5330 Å and the angles 90.00°, 90.00° and 90.00°. The asymmetric unit holds La at (0.0000, 0.0000, 0.1307), Cd at (0.0000, 0.0000, 0.5000), Au at (0.0000, 0.0000, 0.3188) and Au at (0.0000, 0.5000, 0.0000).

For the energy relative to the lowest polymorph listed for this composition, the calculation gives 0.324 eV/atom. The calculation puts the formation energy at -293 meV per atom. The calculated volume comes out at 408.8 Å³ per cell. For the density of states at the Fermi level, the calculation gives 12.71 states/eV per cell. As for the total magnetization: 0.0 μB per cell.

DFT (PBE) results for crystalline La4CdAu at its relaxed geometry.

The structure belongs to space group F-43m (No. 216); the cell edges are 9.0834, 9.0834 and 9.0834 Å and the angles 90.00°, 90.00° and 90.00°. The asymmetric unit holds La at (0.1248, 0.1248, 0.1248), Cd at (0.0000, 0.0000, 0.5000) and Au at (0.2500, 0.2500, 0.7500).

For the energy relative to the lowest polymorph listed for this composition, the calculation gives 0.587 eV/atom. The calculation puts the formation energy at 207 meV per atom. The calculated volume comes out at 749.4 Å³ per cell. For the density of states at the Fermi level, the calculation gives 33.66 states/eV per cell. As for the total magnetization: 0.0 μB per cell.

DFT (PBE) results for crystalline La3Cd2Au4 at its relaxed geometry.

The structure belongs to space group C2/m (No. 12); the cell edges are 11.4426, 4.8226 and 9.2125 Å and the angles 90.00°, 117.26° and 90.00°. The asymmetric unit holds La at (0.0000, 0.0000, 0.0000), La at (0.1469, 0.5000, 0.6874), Cd at (0.1483, 0.5000, 0.3154), Au at (0.0686, 0.0000, 0.4010) and Au at (0.2207, 0.5000, 0.0616).

The calculation puts the formation energy at -697 meV per atom. The calculated volume comes out at 451.9 Å³ per cell. For the density of states at the Fermi level, the calculation gives 12.88 states/eV per cell. As for the total magnetization: 0.0 μB per cell.

DFT (PBE) results for crystalline LaCd4Au4 at its relaxed geometry.

The structure belongs to space group P4_2/nmc (No. 137, origin choice 2); the cell edges are 6.5508, 6.5508 and 9.5997 Å and the angles 90.00°, 90.00° and 90.00°. The asymmetric unit holds La at (0.2500, 0.7500, 0.2500), Cd at (0.0247, 0.2500, 0.1676) and Au at (0.0242, 0.2500, 0.4666).

The calculation puts the formation energy at -289 meV per atom. The calculated volume comes out at 411.9 Å³ per cell. For the density of states at the Fermi level, the calculation gives 7.89 states/eV per cell. As for the total magnetization: 0.0 μB per cell.